# 1
! PBE CaAl2Si2O8, relaxed; values from VASP
&SYSTEM
  ibrav = 0, nat = 26, ntyp = 4
/
ATOMIC_SPECIES
Ca 40.08 Ca.upf
Al 26.98 Al.upf
Si 28.09 Si.upf
O 16.00 O.upf
CELL_PARAMETERS angstrom
5.1571 0.0000 0.0000
-2.5785 4.4662 0.0000
0.0000 0.0000 14.9216
ATOMIC_POSITIONS angstrom
Ca 0.0000 0.0000 0.0000
Ca 0.0000 0.0000 7.4608
Al 0.0000 2.9775 5.3477
Al 0.0000 2.9775 12.8085
Al 2.5786 1.4887 2.1131
Al 2.5786 1.4887 9.5739
Si 0.0000 2.9775 2.0378
Si 0.0000 2.9775 9.4986
Si 2.5786 1.4887 5.4230
Si 2.5786 1.4887 12.8838
O -0.9394 1.7454 1.4490
O -1.5367 2.7799 8.9098
O 0.0000 2.9775 3.6339
O 0.0000 2.9775 11.0947
O 0.9394 1.7454 8.9098
O -0.5973 4.4070 1.4490
O 1.9813 0.0592 6.0118
O 1.0419 1.6863 13.4726
O 1.5367 2.7799 1.4490
O 0.5973 4.4070 8.9098
O 3.1758 0.0592 13.4726
O 1.6391 2.7207 6.0118
O 2.5786 1.4887 3.8269
O 2.5786 1.4887 11.2877
O 4.1152 1.6863 6.0118
O 3.5180 2.7207 13.4726
! DOS(E_F), states/eV per cell: 0.000
! Distance to the lowest polymorph of the same formula, kJ/mol of formula units: 0
! Formation energy from raw total energies, eV/atom: -3.00
! Total magnetization, μB/atom: 0.00

# 2
! PBE CaAl2SiO6, relaxed; values from VASP
&SYSTEM
  ibrav = 0, nat = 40, ntyp = 4
/
ATOMIC_SPECIES
Ca 40.08 Ca.upf
Al 26.98 Al.upf
Si 28.09 Si.upf
O 16.00 O.upf
CELL_PARAMETERS angstrom
9.6879 0.0000 0.0000
0.0000 8.7640 0.0000
-1.3731 0.0000 5.1601
ATOMIC_POSITIONS angstrom
Ca 1.5719 0.5316 2.4870
Ca 0.8853 3.8504 5.0671
Ca 7.4295 4.9136 0.0931
Ca 6.7430 8.2324 2.6732
Al -0.7720 1.3436 4.2991
Al -0.0855 3.0384 1.7191
Al 1.6947 5.7754 2.4899
Al 1.0082 7.3706 5.0699
Al 7.3067 1.3934 0.0902
Al 6.6201 2.9886 2.6703
Al 8.4004 5.7256 3.4411
Al 9.0869 7.4204 0.8610
Si 4.2346 1.3473 0.9776
Si 3.5480 3.0347 3.5576
Si 4.7668 5.7293 1.6025
Si 4.0803 7.4167 4.1826
O 0.9232 1.9957 0.7190
O 0.2367 2.3864 3.2990
O 0.7214 4.5814 1.5210
O 0.0349 8.5646 4.1011
O 0.4407 5.8757 3.9264
O 1.1272 7.2704 1.3464
O 3.1879 5.8283 1.1635
O 2.5014 7.3177 3.7436
O 2.8014 4.4660 3.5015
O 3.4880 8.6800 0.9214
O 2.6770 2.1596 4.6969
O 3.3636 2.2224 2.1168
O 4.9513 6.5416 3.0433
O 5.6378 6.6044 0.4633
O 4.8269 0.0840 4.2387
O 5.5134 4.2980 1.6586
O 5.8135 1.4463 1.4166
O 5.1269 2.9357 3.9966
O 7.1877 1.4937 3.8138
O 7.8742 2.8884 1.2337
O 8.2800 0.1994 1.0591
O 7.5935 4.1826 3.6392
O 8.0782 6.3777 1.8611
O 7.3916 6.7684 4.4412
! DOS(E_F), states/eV per cell: 0.000
! Distance to the lowest polymorph of the same formula, kJ/mol of formula units: 31
! Formation energy from raw total energies, eV/atom: -2.98
! Total magnetization, μB/atom: 0.00

# 3
! PBE CaAl2SiO6, relaxed; values from VASP
&SYSTEM
  ibrav = 0, nat = 20, ntyp = 4
/
ATOMIC_SPECIES
Ca 40.08 Ca.upf
Al 26.98 Al.upf
Si 28.09 Si.upf
O 16.00 O.upf
CELL_PARAMETERS angstrom
4.8606 -4.3615 0.0000
4.8606 4.3615 0.0000
-1.4859 0.0000 5.1270
ATOMIC_POSITIONS angstrom
Ca 0.0000 0.0000 0.0000
Ca 4.1176 -1.0596 2.5635
Al 4.1176 2.4470 2.5635
Al 4.8606 0.8626 0.0000
Al 1.3429 -1.8470 4.9299
Al 6.8923 -1.8470 0.1971
Si 1.2422 0.8182 2.7360
Si 6.9931 0.8182 2.3910
O 3.7261 2.3710 0.7066
O 0.6831 -0.6507 2.2923
O 2.8411 0.9365 3.1698
O 4.5092 2.3710 4.4204
O 3.5121 -0.3541 0.3667
O 5.3941 0.9365 1.9571
O 2.3907 -2.5925 3.7149
O 4.7232 -0.3541 4.7603
O 3.0844 -2.9212 1.2146
O 7.5522 -0.6507 2.8346
O 5.8446 -2.5925 1.4121
O 5.1509 -2.9212 3.9124
! DOS(E_F), states/eV per cell: 0.000
! Distance to the lowest polymorph of the same formula, kJ/mol of formula units: 0
! Formation energy from raw total energies, eV/atom: -3.01
! Total magnetization, μB/atom: 0.00

# 4
! PBE SrCaAl4Si4O20, relaxed; values from VASP
&SYSTEM
  ibrav = 0, nat = 30, ntyp = 5
/
ATOMIC_SPECIES
Sr 87.62 Sr.upf
Ca 40.08 Ca.upf
Al 26.98 Al.upf
Si 28.09 Si.upf
O 16.00 O.upf
CELL_PARAMETERS angstrom
5.3317 0.0000 0.0000
0.0000 13.1216 0.0000
-2.1453 0.0000 4.9627
ATOMIC_POSITIONS angstrom
Sr 0.0000 0.0000 0.0000
Ca 0.3816 6.5608 3.3949
Al 0.2186 3.3078 1.7045
Al 0.2186 9.8138 1.7045
Al 1.8113 3.3232 4.1781
Al 1.8113 9.7984 4.1781
Si 2.7711 1.6060 1.8351
Si 2.7711 11.5156 1.8351
Si 2.9914 5.0012 1.5729
Si 2.9914 8.1203 1.5729
O -0.8387 4.7959 2.2008
O -0.8387 8.3256 2.2008
O -1.9965 4.1406 4.9611
O -1.9965 8.9810 4.9611
O 0.2905 2.4726 3.4146
O 0.2905 10.6490 3.4146
O 1.2820 1.8365 1.2075
O 1.2820 11.2851 1.2075
O 0.4132 0.0000 4.0884
O 1.8107 4.2055 2.4065
O 1.8107 8.9161 2.4065
O 0.8333 4.7391 4.9205
O 0.8333 8.3825 4.9205
O 2.4923 6.5608 1.8353
O 3.1999 0.0000 1.6681
O 2.8110 1.9412 3.4292
O 2.8110 11.1804 3.4292
O 3.9545 2.3857 0.9872
O 3.9545 10.7359 0.9872
O 3.3969 6.5608 4.3214
! DOS(E_F), states/eV per cell: 1.377
! Formation energy from raw total energies, eV/atom: -2.25
! Total magnetization, μB/atom: 0.27

# 5
! PBE Ca4UAl2Si3O15, relaxed; values from VASP
&SYSTEM
  ibrav = 0, nat = 25, ntyp = 5
/
ATOMIC_SPECIES
Ca 40.08 Ca.upf
U 238.03 U.upf
Al 26.98 Al.upf
Si 28.09 Si.upf
O 16.00 O.upf
CELL_PARAMETERS angstrom
2.5908 1.4958 10.5537
-2.5908 1.4958 10.5537
0.0000 -2.9917 10.5537
ATOMIC_POSITIONS angstrom
Ca 0.0000 0.0000 3.1380
Ca 0.0000 0.0000 9.5244
Ca 0.0000 0.0000 22.1368
Ca 0.0000 0.0000 28.5232
U 0.0000 0.0000 15.8306
Al 0.0000 0.0000 6.3809
Al 0.0000 0.0000 25.2803
Si 0.0000 0.0000 0.0000
Si 0.0000 0.0000 12.6283
Si 0.0000 0.0000 19.0328
O -2.5908 0.0000 15.8305
O -1.2954 0.7479 5.2768
O -1.2319 -0.7112 13.6956
O 0.0000 -1.4985 11.5893
O -1.2977 0.7492 11.5893
O -1.2977 -0.7492 20.0718
O 0.0000 -1.4225 17.9655
O -1.2319 0.7112 17.9655
O 1.2954 0.7479 5.2769
O 1.2319 -0.7112 13.6956
O 0.0000 1.4225 13.6956
O 1.2977 0.7492 11.5893
O 1.2977 -0.7492 20.0719
O 0.0000 1.4985 20.0719
O 1.2319 0.7112 17.9655
! DOS(E_F), states/eV per cell: 9.264
! Formation energy from raw total energies, eV/atom: -2.87
! Total magnetization, μB/atom: 0.08

# 6
! PBE CaSmAl3O7, relaxed; values from VASP
&SYSTEM
  ibrav = 0, nat = 24, ntyp = 4
/
ATOMIC_SPECIES
Ca 40.08 Ca.upf
Sm 150.36 Sm.upf
Al 26.98 Al.upf
O 16.00 O.upf
CELL_PARAMETERS angstrom
5.4902 -5.5426 0.0000
5.4902 5.5426 0.0000
0.0000 0.0000 5.1348
ATOMIC_POSITIONS angstrom
Ca 1.7561 0.0000 0.0000
Ca 9.2242 0.0000 0.0000
Sm 5.4902 1.7887 0.1638
Sm 5.4902 -1.7887 0.1638
Al 2.7451 2.7713 2.6768
Al 5.4902 3.9511 2.4429
Al 3.8984 0.0000 2.8680
Al 2.7451 -2.7713 2.6768
Al 7.0819 0.0000 2.8680
Al 5.4902 -3.9511 2.4429
O 0.0000 0.0000 1.7108
O 4.1417 3.1083 1.6415
O 5.4902 3.8980 4.1859
O 3.1468 1.3804 3.6834
O 6.8386 3.1083 1.6415
O 4.0100 0.0000 1.1204
O 3.1468 -1.3804 3.6834
O 5.4902 0.0000 3.6483
O 7.8335 1.3804 3.6834
O 6.9703 0.0000 1.1204
O 4.1417 -3.1083 1.6415
O 7.8335 -1.3804 3.6834
O 5.4902 -3.8980 4.1859
O 6.8386 -3.1083 1.6415
! DOS(E_F), states/eV per cell: 0.000
! Formation energy from raw total energies, eV/atom: -3.15
! Total magnetization, μB/atom: 0.00

# 7
! PBE CaSmAlO4, relaxed; values from VASP
&SYSTEM
  ibrav = 0, nat = 14, ntyp = 4
/
ATOMIC_SPECIES
Ca 40.08 Ca.upf
Sm 150.36 Sm.upf
Al 26.98 Al.upf
O 16.00 O.upf
CELL_PARAMETERS angstrom
3.6883 0.0000 0.0000
0.0000 3.6883 0.0000
0.0000 0.0000 12.1353
ATOMIC_POSITIONS angstrom
Ca 0.0000 0.0000 0.0000
Ca 1.8441 1.8441 6.0677
Sm 0.0000 0.0000 8.6587
Sm 1.8441 1.8441 2.5910
Al 0.0000 0.0000 4.4168
Al 1.8441 1.8441 10.4845
O 0.0000 0.0000 2.2792
O 0.0000 0.0000 6.3492
O 0.0000 1.8441 4.2704
O 0.0000 1.8441 10.3381
O 1.8441 0.0000 4.2704
O 1.8441 0.0000 10.3381
O 1.8441 1.8441 0.2815
O 1.8441 1.8441 8.3469
! DOS(E_F), states/eV per cell: 0.000
! Formation energy from raw total energies, eV/atom: -3.18
! Total magnetization, μB/atom: 0.00

# 8
! PBE CaSm2AlO, relaxed; values from VASP
&SYSTEM
  ibrav = 0, nat = 5, ntyp = 4
/
ATOMIC_SPECIES
Ca 40.08 Ca.upf
Sm 150.36 Sm.upf
Al 26.98 Al.upf
O 16.00 O.upf
CELL_PARAMETERS angstrom
4.8869 0.0000 0.0000
0.0000 4.8869 0.0000
0.0000 0.0000 4.7571
ATOMIC_POSITIONS angstrom
Ca 0.0000 0.0000 0.0000
Sm 0.0000 2.4434 2.3786
Sm 2.4434 0.0000 2.3786
Al 2.4434 2.4434 0.0000
O 0.0000 0.0000 2.3786
! DOS(E_F), states/eV per cell: 1.829
! Formation energy from raw total energies, eV/atom: -1.32
! Total magnetization, μB/atom: 0.00

Q: Which formula does entry 8 have?
A: CaSm2AlO

What did the sixth record say?
! PBE CaSmAl3O7, relaxed; values from VASP
&SYSTEM
  ibrav = 0, nat = 24, ntyp = 4
/
ATOMIC_SPECIES
Ca 40.08 Ca.upf
Sm 150.36 Sm.upf
Al 26.98 Al.upf
O 16.00 O.upf
CELL_PARAMETERS angstrom
5.4902 -5.5426 0.0000
5.4902 5.5426 0.0000
0.0000 0.0000 5.1348
ATOMIC_POSITIONS angstrom
Ca 1.7561 0.0000 0.0000
Ca 9.2242 0.0000 0.0000
Sm 5.4902 1.7887 0.1638
Sm 5.4902 -1.7887 0.1638
Al 2.7451 2.7713 2.6768
Al 5.4902 3.9511 2.4429
Al 3.8984 0.0000 2.8680
Al 2.7451 -2.7713 2.6768
Al 7.0819 0.0000 2.8680
Al 5.4902 -3.9511 2.4429
O 0.0000 0.0000 1.7108
O 4.1417 3.1083 1.6415
O 5.4902 3.8980 4.1859
O 3.1468 1.3804 3.6834
O 6.8386 3.1083 1.6415
O 4.0100 0.0000 1.1204
O 3.1468 -1.3804 3.6834
O 5.4902 0.0000 3.6483
O 7.8335 1.3804 3.6834
O 6.9703 0.0000 1.1204
O 4.1417 -3.1083 1.6415
O 7.8335 -1.3804 3.6834
O 5.4902 -3.8980 4.1859
O 6.8386 -3.1083 1.6415
! DOS(E_F), states/eV per cell: 0.000
! Formation energy from raw total energies, eV/atom: -3.15
! Total magnetization, μB/atom: 0.00